## i
## BaLiTbTe3 (PBE)

Data for a relaxed BaLiTbTe3 crystal.

Lattice parameters (Å, degrees): 7.8401 7.8401 11.5178 90.00 90.00 146.26
Element x y z (fractional)
Ba: 0.2502 0.7498 0.2500
Ba: 0.7498 0.2502 0.7500
Li: 0.9709 0.0291 0.2500
Li: 0.0291 0.9709 0.7500
Tb: 0.5000 0.5000 0.0000
Tb: 0.5000 0.5000 0.5000
Te: 0.8633 0.1367 0.0569
Te: 0.5731 0.4269 0.2500
Te: 0.8633 0.1367 0.4431
Te: 0.1367 0.8633 0.5569
Te: 0.4269 0.5731 0.7500
Te: 0.1367 0.8633 0.9431

Total moment, μB/cell: 0.0
ρ, g cm⁻³: 5.794
SG: Cmcm

## ii
## BaLiTbTe3 (PBE)

Data for a relaxed BaLiTbTe3 crystal.

Lattice parameters (Å, degrees): 9.3185 4.5480 10.0367 90.00 105.39 90.00
Element x y z (fractional)
Ba: 0.8011 0.7500 0.2501
Ba: 0.1989 0.2500 0.7499
Li: 0.0864 0.2500 0.0922
Li: 0.9136 0.7500 0.9078
Tb: 0.3244 0.7500 0.3441
Tb: 0.6756 0.2500 0.6559
Te: 0.2232 0.7500 0.0258
Te: 0.5507 0.2500 0.3346
Te: 0.1050 0.2500 0.3721
Te: 0.8950 0.7500 0.6279
Te: 0.4493 0.7500 0.6654
Te: 0.7768 0.2500 0.9742

Total moment, μB/cell: 0.0
ρ, g cm⁻³: 5.555
SG: P2_1/m

Decreasing stability: i, ii

## i
## NbCoCuB (PBE)

Data for a relaxed NbCoCuB crystal.

Lattice parameters (Å, degrees): 4.0475 4.0475 4.0475 60.00 60.00 60.00
Element x y z (fractional)
B: 0.0000 0.0000 0.0000
Co: 0.7500 0.7500 0.7500
Cu: 0.2500 0.2500 0.2500
Nb: 0.5000 0.5000 0.5000

Total moment, μB/cell: 0.0
ρ, g cm⁻³: 8.011
SG: F-43m

## ii
## NbCoCuB (PBE)

Data for a relaxed NbCoCuB crystal.

Lattice parameters (Å, degrees): 4.0401 4.0401 4.0401 60.00 60.00 60.00
Element x y z (fractional)
B: 0.0000 0.0000 0.0000
Co: 0.5000 0.5000 0.5000
Cu: 0.7500 0.7500 0.7500
Nb: 0.2500 0.2500 0.2500

Total moment, μB/cell: 0.2
ρ, g cm⁻³: 8.055
SG: F-43m

Decreasing stability: ii, i